No. 1
Tm3Ni (PBE-GGA, optimized geometry); DOS at the Fermi energy = 4.54 states/eV/cell; symmetry = Immm
1.0
-3.139 -1.504 -0.459
2.327 -4.381 -1.554
0.502 1.199 6.067
Ni Tm
1 3
Cartesian
2.132 -4.015 -1.424
-1.726 -1.069 1.880
1.028 -2.888 2.434
-0.600 -2.578 -0.877

***

No. 2
Tm5Ni2 (PBE-GGA, optimized geometry); DOS at the Fermi energy = 17.21 states/eV/cell; symmetry = C2/c
1.0
-5.039 -3.737 0.299
3.188 -4.602 -3.783
5.005 -0.918 6.908
Tm Ni
10 4
Cartesian
1.264 -2.883 -0.211
1.480 -6.563 0.126
-1.072 -8.098 -1.869
4.226 -1.158 5.293
1.674 -2.693 3.299
0.204 -5.073 -2.707
1.890 -6.373 3.636
-2.055 -3.265 -0.776
3.936 -4.498 1.368
-0.782 -4.758 2.057
4.356 -3.392 3.805
3.871 -7.235 2.037
-1.203 -5.864 -0.380
-0.717 -2.021 1.388

***

No. 3
TmNi2 (PBE-GGA, optimized geometry); DOS at the Fermi energy = 2.73 states/eV/cell; symmetry = Fd-3m
1.0
-1.642 -2.008 -4.303
-1.816 -4.684 -0.055
-4.915 -0.781 -0.693
Ni Tm
4 2
Cartesian
-0.908 -2.342 -0.027
-4.187 -3.737 -2.525
-2.457 -0.391 -0.347
-3.365 -2.733 -0.374
-6.505 -5.535 -2.268
-1.868 -1.938 -2.783

***

No. 4
Tm3Ni (PBE-GGA, optimized geometry); DOS at the Fermi energy = 6.09 states/eV/cell; symmetry = Pmm2
1.0
3.499 0.000 0.000
0.000 3.409 0.000
0.000 0.000 8.854
Ni Tm
1 3
Cartesian
0.000 0.000 8.746
1.749 1.704 1.092
1.749 0.000 6.679
0.000 1.704 4.144

***

No. 5
TmNi3 (PBE-GGA, optimized geometry); DOS at the Fermi energy = 4.53 states/eV/cell; symmetry = Pm-3m
1.0
-2.420 -1.148 -2.717
-2.441 -1.192 2.677
-1.654 3.436 0.021
Ni Tm
3 1
Cartesian
-1.900 0.858 -1.350
-1.517 3.150 0.020
-3.947 1.980 0.000
-1.910 0.836 1.348

***

No. 6
TmUNi (PBE-GGA, optimized geometry); DOS at the Fermi energy = 11.58 states/eV/cell; symmetry = Cmcm
1.0
-2.683 3.363 1.754
-2.418 -1.834 -0.183
0.350 -3.753 7.729
Ni U Tm
2 2 2
Cartesian
-1.298 -1.135 3.266
-3.454 -1.089 6.033
-1.770 -0.276 0.898
-2.982 -1.948 8.401
-0.797 -2.046 5.780
-3.955 -0.178 3.520

***

No. 7
Tm2U2Ni15 (PBE-GGA, optimized geometry); DOS at the Fermi energy = 25.47 states/eV/cell; symmetry = R-3m
1.0
-3.691 -5.245 -0.511
0.494 -0.901 -6.351
4.650 -4.447 0.025
Ni U Tm
15 2 2
Cartesian
-1.047 -4.992 -0.341
-1.342 -4.760 -4.502
-0.832 -2.278 -4.500
2.325 -2.224 0.012
2.795 -5.833 -2.336
2.777 -4.366 -4.238
-1.324 -6.227 -2.600
3.333 -3.323 -1.996
1.811 -2.025 -4.330
-2.364 -3.868 -2.362
-1.846 -2.623 -0.256
2.006 -4.700 -0.145
0.743 -4.082 -5.484
0.710 -6.511 -1.354
0.247 -0.451 -3.176
0.142 -1.034 -0.668
1.311 -9.559 -6.170
0.524 -3.819 -2.465
0.929 -6.774 -4.373

***

No. 8
TmUNi10 (PBE-GGA, optimized geometry); DOS at the Fermi energy = 16.02 states/eV/cell; symmetry = Pmmm
1.0
3.977 0.000 0.000
0.000 4.832 0.000
0.000 0.000 8.330
Ni U Tm
10 1 1
Cartesian
0.000 2.416 6.878
1.989 3.615 2.103
1.989 2.416 0.000
1.989 1.218 2.103
1.989 3.615 6.226
0.000 2.416 1.451
0.000 0.000 5.524
1.989 1.218 6.226
0.000 0.000 2.806
1.989 0.000 4.165
0.000 2.416 4.165
0.000 0.000 0.000

***

No. 9
Tm2UNi9 (PBE-GGA, optimized geometry); DOS at the Fermi energy = 14.79 states/eV/cell; symmetry = R-3m
1.0
4.700 0.000 1.399
2.142 4.183 1.399
0.004 0.003 8.581
Ni U Tm
9 1 2
Cartesian
4.565 2.792 10.445
3.993 2.442 8.086
1.635 2.442 7.384
2.853 1.744 3.292
2.280 1.394 0.933
2.918 0.342 7.384
3.423 2.093 5.689
5.211 1.744 3.994
3.927 3.844 3.994
0.000 0.000 0.000
5.889 3.601 5.997
0.957 0.585 5.381

***

No. 10
Tm2V2Ni15 (PBE-GGA, optimized geometry); DOS at the Fermi energy = 29.47 states/eV/cell; symmetry = R-3m
1.0
6.266 0.014 0.012
0.826 6.211 0.012
0.826 0.725 6.168
Ni Tm V
15 2 2
Cartesian
0.826 4.559 1.866
5.863 2.392 2.132
4.628 0.228 1.866
4.785 1.446 4.061
0.413 3.105 0.006
4.628 1.879 0.012
2.055 4.557 4.061
4.785 4.200 0.971
2.464 4.345 0.012
2.464 0.511 4.315
0.826 2.377 4.315
3.133 0.007 0.006
3.133 5.503 2.132
3.133 2.750 5.222
0.413 0.363 3.084
2.719 2.386 2.126
5.199 4.563 4.066
7.200 6.320 5.631
0.718 0.630 0.561

***

| no. | formation enthalpy at 0 K (eV/atom) |
| --- | --- |
| 1 | -0.196 |
| 2 | -0.306 |
| 3 | -0.494 |
| 4 | -0.010 |
| 5 | -0.319 |
| 6 | 0.064 |
| 7 | -0.268 |
| 8 | -0.284 |
| 9 | -0.371 |
| 10 | -0.260 |